[1]
Below is a relaxed LiSc2Cr crystal, with properties calculated at the PBE level.

extended XYZ file:
```
4
Lattice="3.187 0.000 0.000 0.000 4.270 0.000 0.000 0.000 5.916" Properties=species:S:1:pos:R:3 pbc="T T T"
Sc 1.594 2.135 1.711
Li 1.594 2.135 4.430
Sc 0.000 0.000 5.813
Cr 0.000 0.000 2.837
```

Results
Crystal system: orthorhombic
DFT total energy in eV per atom: -5.7011
DOS(E_F) in states/eV/cell: 3.98
SG: Pmm2, No. 25
E_form in meV/atom: 349

***

[2]
Below is a relaxed LiScCr crystal, with properties calculated at the PBE level.

extended XYZ file:
```
3
Lattice="4.425 0.000 0.000 2.212 3.832 0.000 2.212 1.277 3.613" Properties=species:S:1:pos:R:3 pbc="T T T"
Cr 4.425 2.555 1.806
Li 6.637 3.832 2.710
Sc 0.000 0.000 0.000
```

Results
Crystal system: cubic
DFT total energy in eV per atom: -5.1309
DOS(E_F) in states/eV/cell: 2.43
SG: F-43m, No. 216
E_form in meV/atom: 825

***

[3]
Below is a relaxed Li2ScCr crystal, with properties calculated at the PBE level.

extended XYZ file:
```
8
Lattice="3.845 0.000 0.000 0.000 3.845 0.000 1.922 1.922 10.512" Properties=species:S:1:pos:R:3 pbc="T T T"
Sc 1.922 1.922 0.000
Li 0.858 0.961 2.628
Cr 0.000 0.000 0.000
Sc 1.922 3.845 5.256
Li 4.806 2.781 7.884
Li 2.987 2.884 2.628
Cr 3.845 1.922 5.256
Li 2.884 4.909 7.884
```

Results
Crystal system: tetragonal
DFT total energy in eV per atom: -4.4615
DOS(E_F) in states/eV/cell: 3.95
SG: I-42d, No. 122
E_form in meV/atom: 484

***

[4]
Below is a relaxed Li3ScCr crystal, with properties calculated at the PBE level.

extended XYZ file:
```
5
Lattice="-2.090 -3.975 -1.552 4.254 -2.075 -0.414 -0.332 -1.571 4.472" Properties=species:S:1:pos:R:3 pbc="T T T"
Sc 0.916 -3.811 1.253
Li -0.166 -0.786 2.236
Cr 0.000 0.000 0.000
Li -1.045 -1.988 -0.776
Li 2.127 -1.038 -0.207
```

Results
Crystal system: cubic
DFT total energy in eV per atom: -3.5806
DOS(E_F) in states/eV/cell: 4.38
SG: Pm-3m, No. 221
E_form in meV/atom: 759

***

[5]
Below is a relaxed LiTbScCr crystal, with properties calculated at the PBE level.

extended XYZ file:
```
4
Lattice="4.937 0.000 0.000 2.468 4.275 0.000 2.468 1.425 4.031" Properties=species:S:1:pos:R:3 pbc="T T T"
Li 0.000 0.000 0.000
Tb 7.405 4.275 3.023
Sc 2.468 1.425 1.008
Cr 4.937 2.850 2.015
```

Results
Crystal system: cubic
DFT total energy in eV per atom: -5.4342
DOS(E_F) in states/eV/cell: 3.31
SG: F-43m, No. 216
E_form in meV/atom: 191

***

[6]
Below is a relaxed LiSc2CrTe crystal, with properties calculated at the PBE level.

extended XYZ file:
```
5
Lattice="-3.745 2.450 1.937 -2.436 -0.283 -4.352 -2.025 -4.207 1.407" Properties=species:S:1:pos:R:3 pbc="T T T"
Cr 0.000 0.000 0.000
Sc -1.013 -2.104 0.703
Li -4.103 -1.020 -0.504
Te -1.218 -0.141 -2.176
Sc -1.872 1.225 0.968
```

Results
Crystal system: tetragonal
DFT total energy in eV per atom: -5.2668
DOS(E_F) in states/eV/cell: 3.49
Raw formation energy in kJ/mol of formula units: 97
SG: P4/mmm, No. 123